Record 1
CaTeRh3 (PBE, relaxed); size of the total moment = 0.334 μB/atom; E above lowest polymorph = 1.109 eV/atom; uncorrected energy = -21.0 eV per cell; space group = No. 221
1.0
-3.951 -0.123 -2.721
2.352 -2.571 -3.299
-1.374 -4.050 2.177
Ca Te Rh
1 1 3
Direct
0.000 0.000 0.000
0.500 0.500 0.500
0.000 0.500 0.000
0.000 0.000 0.500
0.500 0.000 0.000

Record 2
PmErTmMg (PBE, relaxed); energy relative to the elements = 0.032 eV/atom; size of the total moment = 0.000 μB/atom; E above lowest polymorph = 0.055 eV/atom; uncorrected energy = -15.3 eV per cell; space group = No. 216
1.0
-1.446 -1.461 -5.102
-4.298 -3.340 -0.791
-4.638 1.963 -2.213
Mg Tm Pm Er
1 1 1 1
Direct
0.000 0.000 0.000
0.500 0.500 0.500
0.250 0.250 0.250
0.750 0.750 0.750

Record 3
RbNa2Ta2O7 (PBE, relaxed); size of the total moment = 0.086 μB/atom; uncorrected energy = -89.4 eV per cell; space group = No. 71
1.0
-1.102 3.144 -2.337
-1.780 -2.565 -2.612
-7.142 0.484 7.562
Rb Na Ta O
1 2 2 7
Direct
0.000 0.000 0.000
0.250 0.750 0.501
0.750 0.249 0.499
0.393 0.395 0.787
0.607 0.608 0.213
0.397 0.897 0.795
0.701 0.700 0.402
0.103 0.602 0.205
0.603 0.102 0.205
0.299 0.299 0.598
0.897 0.397 0.795
0.500 0.500 0.000

Record 4
KAgPt2O (PBE, relaxed); size of the total moment = 0.298 μB/atom; uncorrected energy = -12.5 eV per cell; space group = No. 123
1.0
-1.548 4.900 0.158
-2.622 -0.717 -3.466
-3.830 -1.311 3.169
O K Ag Pt
1 1 1 2
Direct
0.000 0.500 0.000
0.000 0.000 0.000
0.500 0.500 0.500
0.000 0.000 0.500
0.500 0.000 0.000

Record 5
AcZrSi2O8 (PBE, relaxed); size of the total moment = 0.000 μB/atom; uncorrected energy = -97.1 eV per cell; space group = No. 119
1.0
5.908 0.041 0.000
-2.583 5.313 0.000
-1.662 -2.677 4.997
Ac Zr Si O
1 1 2 8
Direct
0.250 0.750 0.500
0.000 0.000 0.000
0.750 0.250 0.500
0.500 0.500 0.000
0.404 0.094 0.309
0.317 0.481 0.165
0.317 0.152 0.835
0.785 0.094 0.691
0.848 0.683 0.165
0.906 0.215 0.309
0.906 0.596 0.691
0.519 0.683 0.835

Record 6
Tc2OsW (PBE, relaxed); energy relative to the elements = 1.596 eV/atom; size of the total moment = 0.000 μB/atom; E above lowest polymorph = 1.536 eV/atom; uncorrected energy = -77.1 eV per cell; space group = No. 122
1.0
-3.048 -4.646 0.313
4.192 -2.575 2.602
-1.528 -1.890 6.545
Os Tc W
2 4 2
Direct
0.000 0.000 0.000
0.750 0.250 0.500
0.635 0.125 0.250
0.115 0.625 0.250
0.375 0.365 0.750
0.875 0.885 0.750
0.500 0.500 0.000
0.250 0.750 0.500

Record 7
Th2OsBr2 (PBE, relaxed); size of the total moment = 0.000 μB/atom; uncorrected energy = -35.1 eV per cell; space group = No. 166
1.0
4.065 0.000 0.752
1.963 3.560 0.752
0.019 0.011 11.266
Th Os Br
2 1 2
Direct
0.619 0.619 0.142
0.381 0.381 0.858
0.000 0.000 0.000
0.223 0.223 0.331
0.777 0.777 0.669

Record 8
Pm2HoEr3As6 (PBE, relaxed); energy relative to the elements = -1.517 eV/atom; size of the total moment = 0.000 μB/atom; uncorrected energy = -73.9 eV per cell; space group = No. 12
1.0
-2.659 2.716 -1.643
-6.109 -5.528 0.751
1.048 3.103 8.652
Pm Ho Er As
2 1 3 6
Direct
0.834 0.668 0.668
0.166 0.332 0.332
0.500 0.000 0.000
0.500 0.500 0.000
0.833 0.166 0.666
0.167 0.834 0.334
0.333 0.924 0.667
0.665 0.589 0.329
0.667 0.076 0.333
0.997 0.249 0.995
0.003 0.751 0.005
0.335 0.411 0.671

Record 9
BeNiSe (PBE, relaxed); size of the total moment = 0.000 μB/atom; uncorrected energy = -27.2 eV per cell; space group = No. 1
1.0
4.311 -0.042 0.217
2.305 5.358 0.255
-0.159 1.163 3.470
Be Se Ni
2 2 2
Direct
0.568 0.309 0.650
0.652 0.574 0.017
0.277 0.204 0.201
0.949 0.851 0.879
0.963 0.494 0.556
0.331 0.755 0.426

Record 10
Ac2La4Nd7 (PBE, relaxed); energy relative to the elements = 0.106 eV/atom; size of the total moment = 0.000 μB/atom; uncorrected energy = -59.9 eV per cell; space group = No. 2
1.0
-5.387 2.975 -2.373
1.099 -6.503 -1.444
-9.215 -1.726 8.833
Ac La Nd
2 4 7
Direct
0.666 0.333 0.000
0.334 0.667 0.000
0.252 0.000 0.533
0.748 0.000 0.467
0.781 0.559 0.498
0.219 0.441 0.502
0.125 0.656 0.759
0.875 0.344 0.241
0.000 0.000 0.000
0.772 0.001 0.752
0.228 0.999 0.248
0.529 0.653 0.242
0.471 0.347 0.758

Record 11
CdCuSnCl5 (PBE, relaxed); size of the total moment = 0.018 μB/atom; uncorrected energy = -49.8 eV per cell; space group = No. 15
1.0
7.082 -0.006 -0.022
-2.073 6.772 -0.022
-2.099 -2.835 8.752
Cd Cu Sn Cl
2 2 2 10
Direct
0.000 0.000 0.500
0.000 0.000 0.000
0.685 0.315 0.250
0.315 0.685 0.750
0.368 0.632 0.250
0.632 0.368 0.750
0.105 0.895 0.250
0.895 0.105 0.750
0.945 0.336 0.139
0.055 0.664 0.861
0.664 0.055 0.361
0.336 0.945 0.639
0.724 0.606 0.446
0.276 0.394 0.554
0.394 0.276 0.054
0.606 0.724 0.946

Record 12
Zn2GePb2 (PBE, relaxed); energy relative to the elements = 0.146 eV/atom; size of the total moment = 0.000 μB/atom; E above lowest polymorph = 0.000 eV/atom; uncorrected energy = -27.7 eV per cell; space group = No. 127
1.0
6.961 0.000 0.000
0.000 6.961 0.000
0.000 0.000 4.837
Pb Ge Zn
4 2 4
Direct
0.178 0.678 0.500
0.678 0.822 0.500
0.822 0.322 0.500
0.322 0.178 0.500
0.000 0.000 0.000
0.500 0.500 0.000
0.369 0.869 0.000
0.869 0.631 0.000
0.631 0.131 0.000
0.131 0.369 0.000

Record 13
Ac8GaOs3Br4 (PBE, relaxed); size of the total moment = 0.000 μB/atom; uncorrected energy = -88.9 eV per cell; space group = No. 166
1.0
8.840 0.000 0.000
0.000 9.616 0.552
-4.420 -4.424 6.247
Ac Ga Os Br
8 1 3 4
Direct
0.241 0.694 0.954
0.241 0.694 0.481
0.266 0.299 0.533
0.713 0.694 0.954
0.287 0.306 0.046
0.734 0.701 0.467
0.759 0.306 0.519
0.759 0.306 0.046
0.000 0.500 0.000
0.500 0.500 0.000
0.500 0.500 0.500
0.000 0.500 0.500
0.500 0.000 0.000
0.500 0.000 0.500
0.000 0.000 0.000
0.000 0.000 0.500

Record 14
EuTmZnIn (PBE, relaxed); energy relative to the elements = -0.342 eV/atom; size of the total moment = 1.807 μB/atom; uncorrected energy = -20.1 eV per cell; space group = No. 216
1.0
-5.110 0.831 -1.106
-3.523 0.428 3.928
-2.212 4.688 1.073
Eu Zn Tm In
1 1 1 1
Direct
0.000 0.000 0.000
0.250 0.250 0.250
0.500 0.500 0.500
0.750 0.750 0.750

Record 15
ThZr3Pd12 (PBE, relaxed); energy relative to the elements = -0.807 eV/atom; size of the total moment = 0.000 μB/atom; uncorrected energy = -108.3 eV per cell; space group = No. 123
1.0
-1.579 -1.256 -3.559
3.173 -2.532 -0.514
-8.122 -11.749 7.749
Th Zr Pd
1 3 12
Direct
0.000 0.000 0.000
0.000 0.000 0.256
0.000 0.000 0.500
0.000 0.000 0.744
0.500 0.500 0.000
0.500 0.500 0.255
0.500 0.500 0.500
0.500 0.500 0.745
0.500 0.000 0.133
0.500 0.000 0.378
0.500 0.000 0.622
0.500 0.000 0.867
0.000 0.500 0.133
0.000 0.500 0.378
0.000 0.500 0.622
0.000 0.500 0.867

Record 16
Pu3IrBr3 (PBE, relaxed); size of the total moment = 0.755 μB/atom; uncorrected energy = -128.1 eV per cell; space group = No. 11
1.0
-1.467 3.566 -1.430
-7.748 -1.991 2.983
3.160 5.360 10.129
Pu Ir Br
6 2 6
Direct
0.250 0.275 0.602
0.750 0.725 0.398
0.250 0.845 0.635
0.750 0.155 0.365
0.250 0.901 0.160
0.750 0.099 0.840
0.250 0.949 0.407
0.750 0.051 0.593
0.250 0.435 0.368
0.750 0.565 0.632
0.250 0.852 0.897
0.750 0.148 0.103
0.250 0.348 0.857
0.750 0.652 0.143

Record 17
LaIn2TeIr (PBE, relaxed); size of the total moment = 0.000 μB/atom; uncorrected energy = -25.9 eV per cell; space group = No. 123
1.0
5.188 0.000 0.000
0.000 5.188 0.000
0.000 0.000 5.480
In Ir Te La
2 1 1 1
Direct
0.000 0.500 0.000
0.500 0.000 0.000
0.000 0.000 0.000
0.500 0.500 0.500
0.000 0.000 0.500

Record 18
BeBi3Ru (PBE, relaxed); energy relative to the elements = 1.008 eV/atom; size of the total moment = 0.134 μB/atom; E above lowest polymorph = 0.092 eV/atom; uncorrected energy = -19.6 eV per cell; space group = No. 221
1.0
4.968 0.000 0.000
0.000 4.968 0.000
0.000 0.000 4.968
Ru Bi Be
1 3 1
Direct
0.500 0.500 0.500
0.000 0.500 0.000
0.000 0.000 0.500
0.500 0.000 0.000
0.000 0.000 0.000

Record 19
Hf2ScRh3 (PBE, relaxed); energy relative to the elements = -0.938 eV/atom; size of the total moment = 0.000 μB/atom; E above lowest polymorph = 0.000 eV/atom; uncorrected energy = -53.9 eV per cell; space group = No. 123
1.0
-0.037 -2.087 2.562
2.732 1.422 1.198
-5.348 6.129 4.918
Hf Sc Rh
2 1 3
Direct
0.500 0.500 0.831
0.500 0.500 0.169
0.500 0.500 0.500
0.000 0.000 0.000
0.000 0.000 0.671
0.000 0.000 0.329

Record 20
Sr4MgIn (PBE, relaxed); energy relative to the elements = -0.171 eV/atom; size of the total moment = 0.000 μB/atom; E above lowest polymorph = 0.000 eV/atom; uncorrected energy = -12.1 eV per cell; space group = No. 123
1.0
-3.422 0.163 -2.372
-0.728 -4.029 0.774
-7.811 3.625 11.516
Sr Mg In
4 1 1
Direct
0.500 0.500 0.855
0.500 0.500 0.145
0.000 0.000 0.633
0.000 0.000 0.367
0.000 0.000 0.000
0.500 0.500 0.500

Record 21
Sr2AgH12Rh3 (PBE, relaxed); size of the total moment = 0.000 μB/atom; uncorrected energy = -73.6 eV per cell; space group = No. 166
1.0
6.224 -0.042 -0.030
3.037 5.432 -0.030
3.037 1.768 5.137
Sr Ag H Rh
2 1 12 3
Direct
0.619 0.619 0.619
0.381 0.381 0.381
0.000 0.000 0.000
0.324 0.324 0.881
0.890 0.890 0.386
0.386 0.890 0.890
0.881 0.324 0.324
0.890 0.386 0.890
0.324 0.881 0.324
0.676 0.676 0.119
0.110 0.110 0.614
0.614 0.110 0.110
0.119 0.676 0.676
0.110 0.614 0.110
0.676 0.119 0.676
0.500 0.000 0.000
0.000 0.500 0.000
0.000 0.000 0.500

Record 22
Pm2PrYTe6 (PBE, relaxed); size of the total moment = 0.000 μB/atom; uncorrected energy = -53.4 eV per cell; space group = No. 146
1.0
-5.378 5.739 0.613
-3.318 3.008 -6.495
-8.086 -1.986 -1.581
Pm Pr Y Te
2 1 1 6
Direct
0.513 0.513 0.462
0.010 0.010 0.969
0.820 0.820 0.540
0.323 0.323 0.031
0.598 0.227 0.250
0.227 0.925 0.250
0.925 0.598 0.250
0.411 0.722 0.754
0.722 0.112 0.754
0.112 0.411 0.754

Record 23
RbInSiSe4 (PBE, relaxed); size of the total moment = 0.000 μB/atom; uncorrected energy = -55.9 eV per cell; space group = No. 11
1.0
-1.367 4.936 -4.018
-6.383 1.781 4.360
5.644 3.713 6.745
Rb In Si Se
2 2 2 8
Direct
0.759 0.750 0.913
0.241 0.250 0.087
0.696 0.750 0.332
0.304 0.250 0.668
0.185 0.750 0.304
0.815 0.250 0.696
0.037 0.480 0.714
0.963 0.980 0.286
0.963 0.520 0.286
0.037 0.020 0.714
0.341 0.750 0.113
0.659 0.250 0.887
0.464 0.750 0.513
0.536 0.250 0.487